Entry 1:
Computed, not measured: crystalline ZnCuO2 at its relaxed geometry at the PBE level of DFT.

Summary:
- Formation energy from raw total energies: -0.87 eV per atom
- Density of states at the Fermi level: 0.47 states/eV/atom
- Magnetization: 0.96 μB/f.u.

POSCAR file:
```
ZnCuO2
1.0
-2.294 2.294 4.584
2.294 -2.294 4.584
2.294 2.294 -4.584
Zn Cu O
2 2 4
direct
0.000 0.000 0.000
0.750 0.250 0.500
0.250 0.750 0.500
0.500 0.500 0.000
0.127 0.625 0.002
0.375 0.377 0.502
0.623 0.125 0.998
0.875 0.873 0.498
```

Entry 2:
Computed, not measured: crystalline Li7Pd5 at its relaxed geometry at the PBE level of DFT.

Summary:
- Offset from the most stable computed form: 0.716 kcal/mol of atoms
- Density of states at the Fermi level: 0.24 states/eV/atom
- Formation energy: -0.349 eV per atom
- Magnetization: 0.00 μB/f.u.

POSCAR file:
```
Li7Pd5
1.0
6.144 -1.380 0.000
6.144 1.380 0.000
-1.387 0.000 10.981
Li Pd
7 5
direct
0.000 0.000 0.000
0.181 0.181 0.592
0.304 0.304 0.826
0.472 0.472 0.251
0.528 0.528 0.749
0.696 0.696 0.174
0.819 0.819 0.408
0.135 0.135 0.360
0.336 0.336 0.064
0.500 0.500 0.500
0.664 0.664 0.936
0.865 0.865 0.640
```

Entry 3:
Computed, not measured: crystalline Ce2Sm3UN6 at its relaxed geometry at the PBE level of DFT.

Summary:
- Formation energy from raw total energies: -1.51 eV per atom
- Density of states at the Fermi level: 0.69 states/eV/atom
- Magnetization: 0.00 μB/f.u.

POSCAR file:
```
Ce2Sm3UN6
1.0
3.074 -5.320 0.000
3.074 5.320 0.000
-2.047 0.000 5.780
Ce Sm U N
2 3 1 6
direct
0.166 0.834 0.000
0.834 0.166 0.000
0.000 0.000 0.500
0.332 0.668 0.500
0.668 0.332 0.500
0.500 0.500 0.000
0.113 0.424 0.772
0.266 0.266 0.229
0.424 0.113 0.772
0.576 0.887 0.228
0.734 0.734 0.771
0.887 0.576 0.228
```

Entry 4:
Computed, not measured: crystalline ZnNi2Br at its relaxed geometry at the PBE level of DFT.

Summary:
- Formation energy from raw total energies: 0.11 eV per atom
- Offset from the most stable computed form: 0.000 kcal/mol of atoms
- Density of states at the Fermi level: 0.62 states/eV/atom
- Magnetization: 0.00 μB/f.u.

POSCAR file:
```
ZnNi2Br
1.0
4.034 -1.525 0.000
4.034 1.525 0.000
-3.369 0.000 5.811
Zn Ni Br
1 2 1
direct
0.000 0.000 0.000
0.347 0.347 0.156
0.653 0.653 0.844
0.000 0.000 0.500
```

Entry 5:
Computed, not measured: crystalline YTcIr at its relaxed geometry at the PBE level of DFT.

Summary:
- Offset from the most stable computed form: 2.671 kcal/mol of atoms
- Density of states at the Fermi level: 1.36 states/eV/atom
- Formation energy: -0.089 eV per atom
- Magnetization: 0.00 μB/f.u.

POSCAR file:
```
YTcIr
1.0
-1.483 1.483 6.231
1.483 -1.483 6.231
1.483 1.483 -6.231
Y Tc Ir
1 1 1
direct
0.000 0.000 0.000
0.689 0.689 0.000
0.316 0.316 0.000
```

Entry 6:
Computed, not measured: crystalline Sm3Ga2BIr3 at its relaxed geometry at the PBE level of DFT.

Summary:
- Density of states at the Fermi level: 0.56 states/eV/atom
- Formation energy: -0.543 eV per atom
- Magnetization: 0.00 μB/f.u.

POSCAR file:
```
Sm3Ga2BIr3
1.0
7.245 0.000 0.000
-3.622 6.274 0.000
0.000 0.000 3.679
Sm Ga B Ir
3 2 1 3
direct
0.000 0.381 0.000
0.381 0.000 0.000
0.619 0.619 0.000
0.333 0.667 0.500
0.667 0.333 0.500
0.000 0.000 0.000
0.000 0.779 0.500
0.221 0.221 0.500
0.779 0.000 0.500
```

Entry 7:
Computed, not measured: crystalline Sr2NiSnSe at its relaxed geometry at the PBE level of DFT.

Summary:
- Formation energy from raw total energies: 0.00 eV per atom
- Density of states at the Fermi level: 1.12 states/eV/atom
- Magnetization: 0.71 μB/f.u.

POSCAR file:
```
Sr2NiSnSe
1.0
5.773 0.000 0.000
0.000 5.773 0.000
0.000 0.000 5.521
Sr Ni Sn Se
2 1 1 1
direct
0.000 0.500 0.000
0.500 0.000 0.000
0.000 0.000 0.500
0.500 0.500 0.500
0.500 0.500 0.000
```

Entry 8:
Computed, not measured: crystalline CaBrO2 at its relaxed geometry at the PBE level of DFT.

Summary:
- Formation energy from raw total energies: -0.93 eV per atom
- Offset from the most stable computed form: 12.050 kcal/mol of atoms
- Density of states at the Fermi level: 0.90 states/eV/atom
- Magnetization: 0.00 μB/f.u.

POSCAR file:
```
CaBrO2
1.0
3.971 0.000 0.000
-1.985 3.439 0.000
0.000 0.000 4.979
Ca Br O
1 1 2
direct
0.000 0.000 0.000
0.667 0.333 0.500
0.000 0.000 0.500
0.333 0.667 0.000
```

> Which of these has the highest magnetization?

ZnCuO2

> magnetization of number 7 (Sr2NiSnSe)?

0.71 μB/f.u.